A plane-wave DFT calculation with PBE-GGA was carried out for a relaxed structure of Hf2AgW.

The space group is F-43m (No. 216) and the conventional cell measures 6.682, 6.682 and 6.682 Å, with angles of 90.00, 90.00 and 90.00 degrees. The asymmetric unit holds Hf at (0.000, 0.000, 0.000), Hf at (0.250, 0.250, 0.250), Ag at (0.250, 0.250, 0.750) and W at (0.000, 0.000, 0.500).

The calculation puts the volume at 298.3 Å³/cell. Its electronic total energy is -8.52 eV/atom. For the total moment, the calculation gives 0.0 μB per formula unit. The calculation puts the formation enthalpy at 0 K at 1.62 eV per formula unit.